Compound: CeYHoSc
Source: the Alexandria database
Functional: PBE-GGA
Structure: optimized geometry

Results
**Uncorrected energy**: -5.6841 eV per atom
**Formation energy**: 55 kJ/mol of formula units

Cell: 7.8199 7.8199 7.8199 Å, 90.00 90.00 90.00°
Space group F-43m (No. 216)
Inequivalent atoms, fractional coordinates:
1 Ce 0.0000 0.0000 0.0000
2 Y 0.0000 0.0000 0.5000
3 Ho 0.2500 0.2500 0.2500
4 Sc 0.2500 0.2500 0.7500



Compound: AlSbTe2Ru
Source: the Alexandria database
Functional: PBE-GGA
Structure: optimized geometry

Results
**Uncorrected energy**: -4.1597 eV per atom
**Energy relative to the lowest polymorph listed for this composition**: 0 meV/atom
**Raw formation energy**: 0.53 eV per atom

Cell: 5.3805 5.3805 4.9660 Å, 90.00 90.00 90.00°
Space group P4/mmm (No. 123)
Inequivalent atoms, fractional coordinates:
1 Al 0.0000 0.0000 0.0000
2 Sb 0.5000 0.5000 0.0000
3 Te 0.0000 0.5000 0.5000
4 Ru 0.5000 0.5000 0.5000



Compound: CoCuSi2
Source: the Alexandria database
Functional: PBE-GGA
Structure: optimized geometry

Results
**Uncorrected energy**: -5.6354 eV per atom
**Raw formation energy**: -0.12 eV per atom

Cell: 7.6586 2.7236 4.6528 Å, 90.00 100.66 90.00°
Space group C2/m (No. 12)
Inequivalent atoms, fractional coordinates:
1 Co 0.0000 0.0000 0.0000
2 Cu 0.0000 0.5000 0.5000
3 Si 0.2423 0.5000 0.2330



Compound: La2Ge3Rh5
Source: the Alexandria database
Functional: PBE-GGA
Structure: optimized geometry

Results
**Uncorrected energy**: -6.7494 eV per atom
**Formation energy**: -678 kJ/mol of formula units

Cell: 4.1769 25.6526 6.8049 Å, 90.00 90.00 90.00°
Space group Cmc2_1 (No. 36)
Inequivalent atoms, fractional coordinates:
1 La 0.0000 0.0117 0.0000
2 La 0.0000 0.3253 0.0126
3 Ge 0.0000 0.1137 0.7894
4 Ge 0.0000 0.2711 0.5271
5 Ge 0.0000 0.4416 0.7832
6 Rh 0.0000 0.1059 0.3269
7 Rh 0.0000 0.2096 0.8224
8 Rh 0.0000 0.2109 0.2316
9 Rh 0.0000 0.3678 0.5195
10 Rh 0.0000 0.4347 0.1556